ZrIn2Bi | GGA-PBE | optimized geometry

Cell: 3.3117 3.3117 35.5647 Å, 90.00 90.00 120.00°
Closest atoms and distances in Å follow each position.
Atoms (fractional coordinates):
Zr 0.0000 0.0000 0.0000  2 In 2.98, 6 Zr 3.31
Zr 0.3333 0.6667 0.6667  2 In 2.98, 6 Zr 3.31
Zr 0.6667 0.3333 0.3333  2 In 2.98, 6 Zr 3.31
In 0.0000 0.0000 0.0837  1 Zr 2.98, 6 In 3.31
In 0.0000 0.0000 0.9163  1 Zr 2.98, 6 In 3.31
In 0.3333 0.6667 0.5830  1 Zr 2.98, 6 In 3.31
In 0.3333 0.6667 0.7504  1 Zr 2.98, 6 In 3.31
In 0.6667 0.3333 0.2496  1 Zr 2.98, 6 In 3.31
In 0.6667 0.3333 0.4170  1 Zr 2.98, 6 In 3.31
Bi 0.0000 0.0000 0.5000  6 Bi 3.31, 6 In 3.52
Bi 0.3333 0.6667 0.1667  6 Bi 3.31, 6 In 3.52
Bi 0.6667 0.3333 0.8333  6 Bi 3.31, 6 In 3.52

final energy: -4.204 eV per atom
space-group type: R-3m (166)
calculated formation energy: 0.273 eV/atom
theoretical density: 7.8 Mg/m³



NbHg2PH | GGA-PBE | optimized geometry

Cell: 5.0800 5.0800 4.7822 Å, 90.00 90.00 90.00°
Closest atoms and distances in Å follow each position.
Atoms (fractional coordinates):
Nb 0.0000 0.0000 0.0000  2 P 2.39
Hg 0.0000 0.5000 0.5000  2 P 2.54
Hg 0.5000 0.0000 0.5000  2 P 2.54
P 0.0000 0.0000 0.5000  2 Nb 2.39, 4 Hg 2.54
H 0.5000 0.5000 0.0000  8 Hg 3.49, 4 Nb 3.59

final energy: -2.872 eV per atom
space-group type: P4/mmm (123)
theoretical density: 7.1 Mg/m³



UAg2HgO6 | GGA-PBE | optimized geometry

Cell: 6.4176 6.4176 5.3069 Å, 113.68 113.68 54.73°
Closest atoms and distances in Å follow each position.
Atoms (fractional coordinates):
U 0.0000 0.0000 0.0000  2 O 1.90
Ag 0.2511 0.2511 0.8310  5 O 2.29-2.40
Ag 0.7489 0.7489 0.1690  5 O 2.29-2.40
Hg 0.5000 0.5000 0.5000  4 O 2.17
O 0.1561 0.1561 0.3468  1 U 1.90
O 0.1693 0.6432 0.1537  1 Hg 2.17, 1 U 2.24, 2 Ag 2.30-2.40
O 0.3568 0.8307 0.8463  1 Hg 2.17, 1 U 2.24, 2 Ag 2.30-2.40
O 0.6432 0.1693 0.1537  1 Hg 2.17, 1 U 2.24, 2 Ag 2.30-2.40
O 0.8307 0.3568 0.8463  1 Hg 2.17, 1 U 2.24, 2 Ag 2.30-2.40
O 0.8439 0.8439 0.6532  1 U 1.90

final energy: -5.900 eV per atom
space-group type: C2/m (12)
formation energy (no corrections): -1.196 eV per atom
theoretical density: 7.8 Mg/m³



CuRu | GGA-PBE | optimized geometry

Cell: 4.1403 4.1403 4.9054 Å, 90.00 90.00 120.00°
Closest atoms and distances in Å follow each position.
Atoms (fractional coordinates):
Cu 0.3333 0.6667 0.2500  5 Ru 2.39-2.45
Cu 0.6667 0.3333 0.7500  5 Ru 2.39-2.45
Ru 0.3333 0.6667 0.7500  5 Cu 2.39-2.45
Ru 0.6667 0.3333 0.2500  5 Cu 2.39-2.45

final energy: -5.201 eV per atom
space-group type: P6_3/mmc (194)
calculated formation energy: 1.485 eV/atom
theoretical density: 7.5 Mg/m³



AcCd9Rh3 | GGA-PBE | optimized geometry

Cell: 7.3741 7.3741 7.5319 Å, 98.58 98.58 133.80°
Closest atoms and distances in Å follow each position.
Atoms (fractional coordinates):
Ac 0.0000 0.0000 0.0000  12 Cd 3.35-3.62, 4 Rh 3.69
Cd 0.0263 0.6728 0.6653  3 Rh 2.88-2.98, 4 Cd 2.98-3.08
Cd 0.2756 0.5004 0.7833  3 Rh 2.79-2.88, 5 Cd 2.89-3.05
Cd 0.3272 0.9737 0.3347  3 Rh 2.88-2.98, 4 Cd 2.98-3.08
Cd 0.5004 0.2756 0.7833  3 Rh 2.79-2.88, 5 Cd 2.89-3.05
Cd 0.5000 0.5000 0.5000  8 Cd 2.89-3.08, 2 Rh 2.89
Cd 0.4996 0.7244 0.2167  3 Rh 2.79-2.88, 5 Cd 2.89-3.05
Cd 0.6728 0.0263 0.6653  3 Rh 2.88-2.98, 4 Cd 2.98-3.08
Cd 0.7244 0.4996 0.2167  3 Rh 2.79-2.88, 5 Cd 2.89-3.05
Cd 0.9737 0.3272 0.3347  3 Rh 2.88-2.98, 4 Cd 2.98-3.08
Rh 0.0000 0.0000 0.5000  10 Cd 2.88-2.98
Rh 0.0000 0.5000 0.0000  8 Cd 2.79-2.96, 2 Rh 2.89
Rh 0.5000 0.0000 0.0000  8 Cd 2.79-2.96, 2 Rh 2.89

final energy: -2.854 eV per atom
space-group type: C2/m (12)
calculated formation energy: -0.208 eV/atom
theoretical density: 9.4 Mg/m³



KLaMg2Pd | GGA-PBE | optimized geometry

Cell: 5.4070 5.4070 5.4293 Å, 90.00 90.00 90.00°
Closest atoms and distances in Å follow each position.
Atoms (fractional coordinates):
K 0.0000 0.0000 0.0000  4 La 3.82, 8 Mg 3.83
La 0.5000 0.5000 0.0000  2 Pd 2.71
Mg 0.0000 0.5000 0.5000  2 Pd 2.70
Mg 0.5000 0.0000 0.5000  2 Pd 2.70
Pd 0.5000 0.5000 0.5000  4 Mg 2.70, 2 La 2.71

final energy: -3.078 eV per atom
space-group type: P4/mmm (123)
calculated formation energy: -0.196 eV/atom
theoretical density: 3.5 Mg/m³